(1)
The following is a DFT calculation (PBE-GGA) of a relaxed CsLa2Os crystal.

## Properties
Space group: Fm-3m
ΔE_f, eV per atom: 0.6715
N(E_F), states/eV/atom: 1.4195
Total magnetic moment, Bohr magnetons per cell: 0.0

abc: 5.4196 5.4196 5.4196
angles: 60.00 60.00 60.00
Closest atoms and distances in Å follow each position.
Positions (direct):
La  0.7500  0.7500  0.7500  4 Os 3.32, 4 Cs 3.32
La  0.2500  0.2500  0.2500  4 Os 3.32, 4 Cs 3.32
Os  0.5000  0.5000  0.5000  8 La 3.32
Cs  0.0000  0.0000  0.0000  8 La 3.32

=====

(2)
The following is a DFT calculation (PBE-GGA) of a relaxed CsLa2Os crystal.

## Properties
Space group: I-42d
ΔE_f, eV per atom: 0.3193
N(E_F), states/eV/atom: 1.1951
Total magnetic moment, Bohr magnetons per cell: 0.0

abc: 8.6037 8.6037 8.6101
angles: 60.02 60.02 90.00
Closest atoms and distances in Å follow each position.
Positions (direct):
La  0.8764  0.6250  0.2500  2 Os 2.64
La  0.3750  0.1264  0.7500  2 Os 2.64
La  0.8736  0.1250  0.2500  2 Os 2.64
La  0.8750  0.1236  0.7500  2 Os 2.64
Os  0.7500  0.2500  0.5000  4 La 2.64
Os  0.0000  0.0000  0.0000  4 La 2.64
Cs  0.5000  0.5000  0.0000  12 La 5.03-5.06, 4 Os 5.27, 4 Cs 5.27
Cs  0.2500  0.7500  0.5000  12 La 5.03-5.06, 4 Cs 5.27, 4 Os 5.27

=====

(3)
The following is a DFT calculation (PBE-GGA) of a relaxed CsLaOs2 crystal.

## Properties
Space group: Fm-3m
ΔE_f, eV per atom: 1.7029
N(E_F), states/eV/atom: 1.2359
Total magnetic moment, Bohr magnetons per cell: 0.0

abc: 5.1410 5.1410 5.1410
angles: 60.00 60.00 60.00
Closest atoms and distances in Å follow each position.
Positions (direct):
Cs  0.0000  0.0000  0.0000  8 Os 3.15
Os  0.2500  0.2500  0.2500  4 La 3.15, 4 Cs 3.15
Os  0.7500  0.7500  0.7500  4 La 3.15, 4 Cs 3.15
La  0.5000  0.5000  0.5000  8 Os 3.15

=====

(4)
The following is a DFT calculation (PBE-GGA) of a relaxed CsLaOs3 crystal.

## Properties
Space group: Pm-3m
ΔE_f, eV per atom: 2.8759
N(E_F), states/eV/atom: 1.5890
Total magnetic moment, Bohr magnetons per cell: 1.0

abc: 4.9817 4.9817 4.9817
angles: 90.00 90.00 90.00
Closest atoms and distances in Å follow each position.
Positions (direct):
Os  0.5000  0.0000  0.0000  2 Cs 2.49
Os  0.0000  0.5000  0.0000  2 Cs 2.49
Os  0.0000  0.0000  0.5000  2 Cs 2.49
La  0.5000  0.5000  0.5000  12 Os 3.52
Cs  0.0000  0.0000  0.0000  6 Os 2.49

=====

(5)
The following is a DFT calculation (PBE-GGA) of a relaxed CsSrLa2Os crystal.

## Properties
Space group: P4/mmm
ΔE_f, eV per atom: 0.1759
N(E_F), states/eV/atom: 1.0057
Total magnetic moment, Bohr magnetons per cell: 0.0

abc: 5.6694 5.6694 6.4766
angles: 90.00 90.00 90.00
Closest atoms and distances in Å follow each position.
Positions (direct):
La  0.5000  0.0000  0.0000  2 Os 2.83
La  0.0000  0.5000  0.0000  2 Os 2.83
Sr  0.0000  0.0000  0.5000  2 Os 3.24
Cs  0.5000  0.5000  0.5000  4 Sr 4.01, 8 La 4.30
Os  0.0000  0.0000  0.0000  4 La 2.83

=====

(6)
The following is a DFT calculation (PBE-GGA) of a relaxed CsLaTe2Os crystal.

## Properties
Space group: P4/mmm
N(E_F), states/eV/atom: 0.6701
Raw formation energy, meV per atom: 352
Total magnetic moment, Bohr magnetons per cell: 0.0

abc: 5.4932 5.2231 5.4932
angles: 90.00 90.00 90.00
Closest atoms and distances in Å follow each position.
Positions (direct):
Te  0.5000  0.0000  0.0000  2 Os 2.75
Te  0.0000  0.0000  0.5000  2 Os 2.75
Os  0.0000  0.0000  0.0000  2 Cs 2.61, 4 Te 2.75
Cs  0.0000  0.5000  0.0000  2 Os 2.61
La  0.5000  0.5000  0.5000  8 Te 3.79, 4 Cs 3.88

=====

Please write out number 3 again, unchanged.
The following is a DFT calculation (PBE-GGA) of a relaxed CsLaOs2 crystal.

## Properties
Space group: Fm-3m
ΔE_f, eV per atom: 1.7029
N(E_F), states/eV/atom: 1.2359
Total magnetic moment, Bohr magnetons per cell: 0.0

abc: 5.1410 5.1410 5.1410
angles: 60.00 60.00 60.00
Closest atoms and distances in Å follow each position.
Positions (direct):
Cs  0.0000  0.0000  0.0000  8 Os 3.15
Os  0.2500  0.2500  0.2500  4 La 3.15, 4 Cs 3.15
Os  0.7500  0.7500  0.7500  4 La 3.15, 4 Cs 3.15
La  0.5000  0.5000  0.5000  8 Os 3.15